Record 1
# TaAlZnBr2 GGA-PBE relaxed
# Formation energy from raw total energies   110 kJ/mol of atoms
data_TaAlZnBr2
_cell_length_a 4.972
_cell_length_b 4.972
_cell_length_c 5.224
_cell_angle_alpha 90.00
_cell_angle_beta 90.00
_cell_angle_gamma 90.00
_space_group_name_H-M_alt 'P 1'
_space_group_IT_number 1
loop_
_space_group_symop_operation_xyz
'x,y,z'
loop_
_atom_site_label
_atom_site_fract_x
_atom_site_fract_y
_atom_site_fract_z
Ta1 0.000 0.000 0.000
Al1 0.500 0.500 0.000
Zn1 0.500 0.500 0.500
Br1 0.000 0.500 0.500
Br2 0.500 0.000 0.500

Record 2
# Mg2MnIr GGA-PBE relaxed
# ΔE to the lowest computed polymorph   0 meV/atom
data_Mg2MnIr
_cell_length_a 4.842
_cell_length_b 4.842
_cell_length_c 4.842
_cell_angle_alpha 130.47
_cell_angle_beta 130.47
_cell_angle_gamma 72.65
_space_group_name_H-M_alt 'P 1'
_space_group_IT_number 1
loop_
_space_group_symop_operation_xyz
'x,y,z'
loop_
_atom_site_label
_atom_site_fract_x
_atom_site_fract_y
_atom_site_fract_z
Mg1 0.250 0.750 0.500
Mg2 0.750 0.250 0.500
Mn1 0.000 0.000 0.000
Ir1 0.500 0.500 0.000

Record 3
# CsBeAs GGA-PBE relaxed
# Uncorrected energy   -3.475 eV per atom
data_CsBeAs
_cell_length_a 8.453
_cell_length_b 3.917
_cell_length_c 11.336
_cell_angle_alpha 90.00
_cell_angle_beta 90.00
_cell_angle_gamma 90.00
_space_group_name_H-M_alt 'P 1'
_space_group_IT_number 1
loop_
_space_group_symop_operation_xyz
'x,y,z'
loop_
_atom_site_label
_atom_site_fract_x
_atom_site_fract_y
_atom_site_fract_z
Cs1 0.005 0.250 0.190
Cs2 0.495 0.750 0.690
Cs3 0.505 0.250 0.310
Cs4 0.995 0.750 0.810
Be1 0.070 0.750 0.504
Be2 0.430 0.250 0.004
Be3 0.570 0.750 0.996
Be4 0.930 0.250 0.496
As1 0.190 0.250 0.541
As2 0.310 0.750 0.041
As3 0.690 0.250 0.959
As4 0.810 0.750 0.459

Record 4
# Na2YTiN GGA-PBE relaxed
# ΔE to the lowest computed polymorph   597 meV/atom
# Formation energy from raw total energies   103 kJ/mol of atoms
data_Na2YTiN
_cell_length_a 6.181
_cell_length_b 6.181
_cell_length_c 4.118
_cell_angle_alpha 90.00
_cell_angle_beta 90.00
_cell_angle_gamma 90.00
_space_group_name_H-M_alt 'P 1'
_space_group_IT_number 1
loop_
_space_group_symop_operation_xyz
'x,y,z'
loop_
_atom_site_label
_atom_site_fract_x
_atom_site_fract_y
_atom_site_fract_z
Na1 0.000 0.500 0.000
Na2 0.500 0.000 0.000
Y1 0.000 0.000 0.000
Ti1 0.500 0.500 0.500
N1 0.000 0.000 0.500

Record 5
# Sb2WCl GGA-PBE relaxed
# ΔE to the lowest computed polymorph   855 meV/atom
# Formation energy from raw total energies   99 kJ/mol of atoms
data_Sb2WCl
_cell_length_a 4.215
_cell_length_b 4.215
_cell_length_c 5.104
_cell_angle_alpha 90.00
_cell_angle_beta 90.00
_cell_angle_gamma 90.00
_space_group_name_H-M_alt 'P 1'
_space_group_IT_number 1
loop_
_space_group_symop_operation_xyz
'x,y,z'
loop_
_atom_site_label
_atom_site_fract_x
_atom_site_fract_y
_atom_site_fract_z
Sb1 0.000 0.500 0.000
Sb2 0.500 0.000 0.000
W1 0.000 0.000 0.500
Cl1 0.500 0.500 0.500

Record 6
# NdLuCu GGA-PBE relaxed
# ΔE to the lowest computed polymorph   166 meV/atom
data_NdLuCu
_cell_length_a 4.748
_cell_length_b 4.748
_cell_length_c 3.963
_cell_angle_alpha 90.00
_cell_angle_beta 90.00
_cell_angle_gamma 120.00
_space_group_name_H-M_alt 'P 1'
_space_group_IT_number 1
loop_
_space_group_symop_operation_xyz
'x,y,z'
loop_
_atom_site_label
_atom_site_fract_x
_atom_site_fract_y
_atom_site_fract_z
Nd1 0.000 0.000 0.000
Lu1 0.333 0.667 0.498
Cu1 0.667 0.333 0.540

Record 7
# LaIrBr2 GGA-PBE relaxed
# ΔE to the lowest computed polymorph   201 meV/atom
# Formation energy from raw total energies   -64 kJ/mol of atoms
data_LaIrBr2
_cell_length_a 4.017
_cell_length_b 4.017
_cell_length_c 7.111
_cell_angle_alpha 90.00
_cell_angle_beta 90.00
_cell_angle_gamma 90.00
_space_group_name_H-M_alt 'P 1'
_space_group_IT_number 1
loop_
_space_group_symop_operation_xyz
'x,y,z'
loop_
_atom_site_label
_atom_site_fract_x
_atom_site_fract_y
_atom_site_fract_z
La1 0.000 0.000 0.000
Ir1 0.500 0.500 0.873
Br1 0.000 0.000 0.592
Br2 0.500 0.500 0.220

Record 8
# Y8Bi5Sb GGA-PBE relaxed
# Formation energy from raw total energies   -78 kJ/mol of atoms
data_Y8Bi5Sb
_cell_length_a 8.119
_cell_length_b 8.119
_cell_length_c 8.119
_cell_angle_alpha 109.61
_cell_angle_beta 109.61
_cell_angle_gamma 109.18
_space_group_name_H-M_alt 'P 1'
_space_group_IT_number 1
loop_
_space_group_symop_operation_xyz
'x,y,z'
loop_
_atom_site_label
_atom_site_fract_x
_atom_site_fract_y
_atom_site_fract_z
Y1 0.125 0.381 0.110
Y2 0.128 0.380 0.604
Y3 0.271 0.015 0.890
Y4 0.475 0.872 0.252
Y5 0.619 0.729 0.744
Y6 0.620 0.223 0.748
Y7 0.777 0.525 0.396
Y8 0.985 0.875 0.256
Bi1 0.377 0.250 0.372
Bi2 0.500 0.500 0.000
Bi3 0.750 0.122 0.127
Bi4 0.878 0.005 0.628
Bi5 0.995 0.623 0.873
Sb1 0.250 0.750 0.500

Record 9
# CuIr2Os GGA-PBE relaxed
# ΔE to the lowest computed polymorph   429 meV/atom
data_CuIr2Os
_cell_length_a 4.336
_cell_length_b 4.336
_cell_length_c 4.336
_cell_angle_alpha 60.00
_cell_angle_beta 60.00
_cell_angle_gamma 60.00
_space_group_name_H-M_alt 'P 1'
_space_group_IT_number 1
loop_
_space_group_symop_operation_xyz
'x,y,z'
loop_
_atom_site_label
_atom_site_fract_x
_atom_site_fract_y
_atom_site_fract_z
Cu1 0.000 0.000 0.000
Ir1 0.250 0.250 0.250
Ir2 0.750 0.750 0.750
Os1 0.500 0.500 0.500

Record 10
# Ta2TiCuPt GGA-PBE relaxed
# Uncorrected energy   -7.069 eV per atom
data_Ta2TiCuPt
_cell_length_a 4.626
_cell_length_b 4.626
_cell_length_c 4.402
_cell_angle_alpha 90.00
_cell_angle_beta 90.00
_cell_angle_gamma 90.00
_space_group_name_H-M_alt 'P 1'
_space_group_IT_number 1
loop_
_space_group_symop_operation_xyz
'x,y,z'
loop_
_atom_site_label
_atom_site_fract_x
_atom_site_fract_y
_atom_site_fract_z
Ta1 0.000 0.500 0.000
Ta2 0.500 0.000 0.000
Ti1 0.000 0.000 0.000
Cu1 0.000 0.000 0.500
Pt1 0.500 0.500 0.500

Record 11
# Zr4BiOs GGA-PBE relaxed
# Uncorrected energy   -8.473 eV per atom
data_Zr4BiOs
_cell_length_a 7.545
_cell_length_b 7.545
_cell_length_c 5.649
_cell_angle_alpha 101.57
_cell_angle_beta 101.57
_cell_angle_gamma 112.96
_space_group_name_H-M_alt 'P 1'
_space_group_IT_number 1
loop_
_space_group_symop_operation_xyz
'x,y,z'
loop_
_atom_site_label
_atom_site_fract_x
_atom_site_fract_y
_atom_site_fract_z
Zr1 0.066 0.709 0.932
Zr2 0.198 0.363 0.652
Zr3 0.291 0.934 0.568
Zr4 0.363 0.198 0.152
Zr5 0.637 0.802 0.848
Zr6 0.709 0.066 0.432
Zr7 0.802 0.637 0.348
Zr8 0.934 0.291 0.068
Bi1 0.380 0.620 0.250
Bi2 0.620 0.380 0.750
Os1 0.007 0.993 0.750
Os2 0.993 0.007 0.250

Record 12
# Cu2PtI8 GGA-PBE relaxed
# ΔE to the lowest computed polymorph   39 meV/atom
# Formation energy from raw total energies   -4 kJ/mol of atoms
data_Cu2PtI8
_cell_length_a 9.272
_cell_length_b 9.272
_cell_length_c 6.565
_cell_angle_alpha 108.01
_cell_angle_beta 108.01
_cell_angle_gamma 78.86
_space_group_name_H-M_alt 'P 1'
_space_group_IT_number 1
loop_
_space_group_symop_operation_xyz
'x,y,z'
loop_
_atom_site_label
_atom_site_fract_x
_atom_site_fract_y
_atom_site_fract_z
Cu1 0.227 0.227 0.120
Cu2 0.773 0.773 0.880
Pt1 0.500 0.500 0.500
I1 0.081 0.081 0.250
I2 0.211 0.526 0.286
I3 0.230 0.230 0.737
I4 0.474 0.789 0.714
I5 0.526 0.211 0.286
I6 0.770 0.770 0.263
I7 0.789 0.474 0.714
I8 0.919 0.919 0.750

Record 13
# DyMgGeAu GGA-PBE relaxed
# Uncorrected energy   -4.168 eV per atom
data_DyMgGeAu
_cell_length_a 4.913
_cell_length_b 4.913
_cell_length_c 4.913
_cell_angle_alpha 60.00
_cell_angle_beta 60.00
_cell_angle_gamma 60.00
_space_group_name_H-M_alt 'P 1'
_space_group_IT_number 1
loop_
_space_group_symop_operation_xyz
'x,y,z'
loop_
_atom_site_label
_atom_site_fract_x
_atom_site_fract_y
_atom_site_fract_z
Dy1 0.000 0.000 0.000
Mg1 0.500 0.500 0.500
Ge1 0.750 0.750 0.750
Au1 0.250 0.250 0.250

Record 14
# La3ZrPb GGA-PBE relaxed
# ΔE to the lowest computed polymorph   0 meV/atom
data_La3ZrPb
_cell_length_a 5.655
_cell_length_b 5.655
_cell_length_c 5.655
_cell_angle_alpha 90.00
_cell_angle_beta 90.00
_cell_angle_gamma 90.00
_space_group_name_H-M_alt 'P 1'
_space_group_IT_number 1
loop_
_space_group_symop_operation_xyz
'x,y,z'
loop_
_atom_site_label
_atom_site_fract_x
_atom_site_fract_y
_atom_site_fract_z
La1 0.000 0.000 0.500
La2 0.000 0.500 0.000
La3 0.500 0.000 0.000
Zr1 0.000 0.000 0.000
Pb1 0.500 0.500 0.500

Record 15
# ZrGe3Pt GGA-PBE relaxed
# Uncorrected energy   -5.234 eV per atom
data_ZrGe3Pt
_cell_length_a 4.856
_cell_length_b 4.856
_cell_length_c 4.856
_cell_angle_alpha 90.00
_cell_angle_beta 90.00
_cell_angle_gamma 90.00
_space_group_name_H-M_alt 'P 1'
_space_group_IT_number 1
loop_
_space_group_symop_operation_xyz
'x,y,z'
loop_
_atom_site_label
_atom_site_fract_x
_atom_site_fract_y
_atom_site_fract_z
Zr1 0.000 0.000 0.000
Ge1 0.000 0.500 0.500
Ge2 0.500 0.000 0.500
Ge3 0.500 0.500 0.000
Pt1 0.500 0.500 0.500

Record 16
# TaS3 GGA-PBE relaxed
# Formation energy from raw total energies   -78 kJ/mol of atoms
data_TaS3
_cell_length_a 10.248
_cell_length_b 3.369
_cell_length_c 15.060
_cell_angle_alpha 90.00
_cell_angle_beta 108.73
_cell_angle_gamma 90.00
_space_group_name_H-M_alt 'P 1'
_space_group_IT_number 1
loop_
_space_group_symop_operation_xyz
'x,y,z'
loop_
_atom_site_label
_atom_site_fract_x
_atom_site_fract_y
_atom_site_fract_z
Ta1 0.137 0.250 0.115
Ta2 0.171 0.250 0.793
Ta3 0.189 0.750 0.540
Ta4 0.811 0.250 0.460
Ta5 0.829 0.750 0.207
Ta6 0.863 0.750 0.885
S1 0.025 0.250 0.247
S2 0.049 0.250 0.593
S3 0.054 0.250 0.934
S4 0.244 0.250 0.432
S5 0.286 0.750 0.227
S6 0.291 0.750 0.720
S7 0.301 0.750 0.909
S8 0.305 0.750 0.089
S9 0.382 0.250 0.568
S10 0.618 0.750 0.432
S11 0.695 0.250 0.911
S12 0.699 0.250 0.091
S13 0.709 0.250 0.280
S14 0.714 0.250 0.773
S15 0.756 0.750 0.568
S16 0.946 0.750 0.066
S17 0.951 0.750 0.407
S18 0.975 0.750 0.753

Record 17
# Dy2YMg GGA-PBE relaxed
# ΔE to the lowest computed polymorph   55 meV/atom
data_Dy2YMg
_cell_length_a 11.356
_cell_length_b 11.356
_cell_length_c 11.356
_cell_angle_alpha 17.88
_cell_angle_beta 17.88
_cell_angle_gamma 17.88
_space_group_name_H-M_alt 'P 1'
_space_group_IT_number 1
loop_
_space_group_symop_operation_xyz
'x,y,z'
loop_
_atom_site_label
_atom_site_fract_x
_atom_site_fract_y
_atom_site_fract_z
Dy1 0.247 0.247 0.247
Dy2 0.753 0.753 0.753
Y1 0.000 0.000 0.000
Mg1 0.500 0.500 0.500

Record 18
# Nb2InReI GGA-PBE relaxed
# Formation energy from raw total energies   97 kJ/mol of atoms
data_Nb2InReI
_cell_length_a 4.979
_cell_length_b 4.979
_cell_length_c 5.262
_cell_angle_alpha 90.00
_cell_angle_beta 90.00
_cell_angle_gamma 90.00
_space_group_name_H-M_alt 'P 1'
_space_group_IT_number 1
loop_
_space_group_symop_operation_xyz
'x,y,z'
loop_
_atom_site_label
_atom_site_fract_x
_atom_site_fract_y
_atom_site_fract_z
Nb1 0.000 0.500 0.000
Nb2 0.500 0.000 0.000
In1 0.000 0.000 0.500
Re1 0.000 0.000 0.000
I1 0.500 0.500 0.500

Record 19
# NaAcS GGA-PBE relaxed
# Formation energy from raw total energies   -92 kJ/mol of atoms
data_NaAcS
_cell_length_a 4.202
_cell_length_b 4.202
_cell_length_c 6.905
_cell_angle_alpha 90.00
_cell_angle_beta 90.00
_cell_angle_gamma 120.00
_space_group_name_H-M_alt 'P 1'
_space_group_IT_number 1
loop_
_space_group_symop_operation_xyz
'x,y,z'
loop_
_atom_site_label
_atom_site_fract_x
_atom_site_fract_y
_atom_site_fract_z
Na1 0.000 0.000 0.000
Ac1 0.667 0.333 0.509
S1 0.333 0.667 0.758

Record 20
# DyHoMo4 GGA-PBE relaxed
# Uncorrected energy   -8.663 eV per atom
data_DyHoMo4
_cell_length_a 5.515
_cell_length_b 5.515
_cell_length_c 5.515
_cell_angle_alpha 60.00
_cell_angle_beta 60.00
_cell_angle_gamma 60.00
_space_group_name_H-M_alt 'P 1'
_space_group_IT_number 1
loop_
_space_group_symop_operation_xyz
'x,y,z'
loop_
_atom_site_label
_atom_site_fract_x
_atom_site_fract_y
_atom_site_fract_z
Dy1 0.000 0.000 0.000
Ho1 0.250 0.250 0.250
Mo1 0.125 0.625 0.625
Mo2 0.625 0.125 0.625
Mo3 0.625 0.625 0.125
Mo4 0.625 0.625 0.625